# 1
A plane-wave DFT calculation with PBE was carried out for an optimized crystal structure of LuPuFeCu.

extended XYZ file:
```
4
Lattice="-2.3348 4.1525 0.0906 -4.3250 0.2586 1.9826 -0.5956 2.3088 4.1252" Properties=species:S:1:pos:R:3 pbc="T T T"
Lu -3.6277 3.3599 3.0992
Fe -5.4415 5.0399 4.6488
Cu -1.8138 1.6800 1.5496
Pu 0.0000 0.0000 0.0000
```

Computed properties:
Symmetry: F-43m
V in Å³ per cell: 76
DFT formation energy in eV/atom: 0.04



# 2
A plane-wave DFT calculation with PBE was carried out for an optimized crystal structure of LuScFeCu.

extended XYZ file:
```
4
Lattice="4.5944 0.0000 0.0000 2.2972 3.9789 0.0000 2.2972 1.3263 3.7513" Properties=species:S:1:pos:R:3 pbc="T T T"
Sc 4.5944 2.6526 1.8757
Lu 0.0000 0.0000 0.0000
Fe 6.8916 3.9789 2.8135
Cu 2.2972 1.3263 0.9378
```

Computed properties:
Symmetry: F-43m
V in Å³ per cell: 69
DFT formation energy in eV/atom: -0.12



# 3
A plane-wave DFT calculation with PBE was carried out for an optimized crystal structure of TbLuFeCu.

extended XYZ file:
```
4
Lattice="-0.4551 0.3631 4.7126 -4.0372 -1.3463 2.1061 -0.0859 -3.9150 2.6856" Properties=species:S:1:pos:R:3 pbc="T T T"
Lu -2.2891 -2.4491 4.7522
Tb 0.0000 0.0000 0.0000
Fe -3.4337 -3.6737 7.1282
Cu -1.1446 -1.2246 2.3761
```

Computed properties:
Symmetry: F-43m
V in Å³ per cell: 76
DFT formation energy in eV/atom: -0.05



# 4
A plane-wave DFT calculation with PBE was carried out for an optimized crystal structure of LuTiFeCu.

extended XYZ file:
```
4
Lattice="4.4955 0.0000 0.0000 2.2477 3.8932 0.0000 2.2477 1.2977 3.6705" Properties=species:S:1:pos:R:3 pbc="T T T"
Lu 4.4955 2.5955 1.8353
Fe 6.7432 3.8932 2.7529
Cu 2.2477 1.2977 0.9176
Ti 0.0000 0.0000 0.0000
```

Computed properties:
Symmetry: F-43m
V in Å³ per cell: 64
DFT formation energy in eV/atom: -0.07



# 5
A plane-wave DFT calculation with PBE was carried out for an optimized crystal structure of YLuFeCu.

extended XYZ file:
```
4
Lattice="4.7508 0.0000 0.0000 2.3754 4.1143 0.0000 2.3754 1.3714 3.8790" Properties=species:S:1:pos:R:3 pbc="T T T"
Y 7.1262 4.1143 2.9092
Lu 2.3754 1.3714 0.9697
Fe 0.0000 0.0000 0.0000
Cu 4.7508 2.7429 1.9395
```

Computed properties:
Symmetry: F-43m
V in Å³ per cell: 76
DFT formation energy in eV/atom: -0.04



# 6
A plane-wave DFT calculation with PBE was carried out for an optimized crystal structure of LuZrFeCu.

extended XYZ file:
```
4
Lattice="4.6285 0.0000 0.0000 2.3142 4.0084 0.0000 2.3142 1.3361 3.7791" Properties=species:S:1:pos:R:3 pbc="T T T"
Lu 6.9427 4.0084 2.8344
Cu 0.0000 0.0000 0.0000
Zr 2.3142 1.3361 0.9448
Fe 4.6285 2.6723 1.8896
```

Computed properties:
Symmetry: F-43m
V in Å³ per cell: 70
DFT formation energy in eV/atom: -0.11



# 7
A plane-wave DFT calculation with PBE was carried out for an optimized crystal structure of MgFeCu2.

extended XYZ file:
```
4
Lattice="5.0027 0.0585 0.0506 2.1846 4.5010 -0.0506 -3.0990 -3.0595 2.4636" Properties=species:S:1:pos:R:3 pbc="T T T"
Cu 0.0873 0.0554 0.0000
Cu 3.5063 2.2244 0.0000
Fe 1.3396 1.8606 1.2065
Mg 2.7487 -0.3606 1.2571
```

Computed properties:
Symmetry: Immm
V in Å³ per cell: 55
DFT formation energy in eV/atom: 0.21



# 8
A plane-wave DFT calculation with PBE was carried out for an optimized crystal structure of MgFe2Cu.

extended XYZ file:
```
4
Lattice="-1.3710 -3.6700 2.9491 3.5421 -3.2004 1.1211 -1.3517 4.7068 0.2534" Properties=species:S:1:pos:R:3 pbc="T T T"
Cu 1.6131 -0.8857 1.6582
Fe 2.1517 -6.8089 4.0338
Fe -0.7747 -1.3381 2.7011
Mg 1.0859 -3.4363 2.0358
```

Computed properties:
Symmetry: Imm2
V in Å³ per cell: 54
DFT formation energy in eV/atom: 0.21



no.,energy (eV/cell)
1,-31.27
2,-23.90
3,-21.90
4,-25.25
5,-23.71
6,-26.08
7,-17.41
8,-21.78